Crystalline Pm2Er3Cd at its relaxed geometry. Source: Alexandria via LeMat-Bulk, functional PBE-GGA.

Cell: 3.405 17.187 6.529 Å, 90.00 90.00 90.00°
Atoms (fractional coordinates):
1 Pm 0.000 0.192 0.000
2 Pm 0.000 0.808 0.000
3 Pm 0.500 0.308 0.500
4 Pm 0.500 0.692 0.500
5 Er 0.000 0.131 0.494
6 Er 0.000 0.500 0.686
7 Er 0.000 0.869 0.494
8 Er 0.500 0.000 0.186
9 Er 0.500 0.369 0.994
10 Er 0.500 0.631 0.994
11 Cd 0.000 0.000 0.794
12 Cd 0.500 0.500 0.294

Energy of formation from the pure elements = 147 meV/atom
Space group = Imm2, No. 44

---

Crystalline Pm5Er4Cd at its relaxed geometry. Source: Alexandria via LeMat-Bulk, functional PBE-GGA.

Cell: 3.606 3.606 24.310 Å, 90.00 90.00 90.00°
Atoms (fractional coordinates):
1 Pm 0.000 0.000 0.000
2 Pm 0.000 0.000 0.206
3 Pm 0.000 0.000 0.412
4 Pm 0.000 0.000 0.588
5 Pm 0.000 0.000 0.794
6 Er 0.500 0.500 0.103
7 Er 0.500 0.500 0.309
8 Er 0.500 0.500 0.691
9 Er 0.500 0.500 0.897
10 Cd 0.500 0.500 0.500

Energy of formation from the pure elements = -43 meV/atom
Space group = P4/mmm, No. 123

---

Crystalline Pm3Er4Cd at its relaxed geometry. Source: Alexandria via LeMat-Bulk, functional PBE-GGA.

Cell: 3.583 3.583 19.149 Å, 90.00 90.00 90.00°
Atoms (fractional coordinates):
1 Pm 0.000 0.000 0.000
2 Pm 0.000 0.000 0.263
3 Pm 0.000 0.000 0.737
4 Er 0.500 0.500 0.132
5 Er 0.500 0.500 0.394
6 Er 0.500 0.500 0.606
7 Er 0.500 0.500 0.868
8 Cd 0.000 0.000 0.500

Energy of formation from the pure elements = -67 meV/atom
Space group = P4/mmm, No. 123

---

Crystalline Pm6ErCd at its relaxed geometry. Source: Alexandria via LeMat-Bulk, functional PBE-GGA.

Cell: 4.996 4.996 10.218 Å, 90.00 90.00 90.00°
Atoms (fractional coordinates):
1 Pm 0.000 0.000 0.000
2 Pm 0.000 0.000 0.500
3 Pm 0.000 0.500 0.245
4 Pm 0.000 0.500 0.755
5 Pm 0.500 0.000 0.245
6 Pm 0.500 0.000 0.755
7 Er 0.500 0.500 0.500
8 Cd 0.500 0.500 0.000

Energy of formation from the pure elements = -41 meV/atom
Energy above the lowest structure with this stoichiometry = 0 meV per atom
Space group = P4/mmm, No. 123

---

Crystalline Pm2Er3Cd2 at its relaxed geometry. Source: Alexandria via LeMat-Bulk, functional PBE-GGA.

Cell: 8.583 8.583 8.583 Å, 36.77 36.77 36.77°
Atoms (fractional coordinates):
1 Pm 0.075 0.075 0.075
2 Pm 0.925 0.925 0.925
3 Er 0.344 0.344 0.344
4 Er 0.500 0.500 0.500
5 Er 0.656 0.656 0.656
6 Cd 0.213 0.213 0.213
7 Cd 0.787 0.787 0.787

Energy of formation from the pure elements = -143 meV/atom
Energy above the lowest structure with this stoichiometry = 0 meV per atom
Space group = R-3m, No. 166

---

Crystalline Pm4Er5Cd at its relaxed geometry. Source: Alexandria via LeMat-Bulk, functional PBE-GGA.

Cell: 3.587 3.587 24.153 Å, 90.00 90.00 90.00°
Atoms (fractional coordinates):
1 Pm 0.000 0.000 0.104
2 Pm 0.000 0.000 0.313
3 Pm 0.000 0.000 0.687
4 Pm 0.000 0.000 0.896
5 Er 0.500 0.500 0.000
6 Er 0.500 0.500 0.208
7 Er 0.500 0.500 0.416
8 Er 0.500 0.500 0.584
9 Er 0.500 0.500 0.792
10 Cd 0.000 0.000 0.500

Energy of formation from the pure elements = -47 meV/atom
Energy above the lowest structure with this stoichiometry = 0 meV per atom
Space group = P4/mmm, No. 123

---

Crystalline Pm4Er5Cd at its relaxed geometry. Source: Alexandria via LeMat-Bulk, functional PBE-GGA.

Cell: 8.083 8.083 8.083 Å, 97.17 97.17 138.61°
Atoms (fractional coordinates):
1 Pm 0.000 0.317 0.317
2 Pm 0.000 0.683 0.683
3 Pm 0.317 0.000 0.317
4 Pm 0.683 0.000 0.683
5 Er 0.193 0.193 0.000
6 Er 0.308 0.308 0.633
7 Er 0.308 0.675 0.000
8 Er 0.675 0.308 0.000
9 Er 0.675 0.675 0.367
10 Cd 0.710 0.710 0.000

Energy of formation from the pure elements = 110 meV/atom
Energy above the lowest structure with this stoichiometry = 158 meV per atom
Space group = I4mm, No. 107

---

Crystalline Pm6Er3Cd at its relaxed geometry. Source: Alexandria via LeMat-Bulk, functional PBE-GGA.

Cell: 9.632 5.697 12.588 Å, 90.00 111.23 90.00°
Atoms (fractional coordinates):
1 Pm 0.040 0.250 0.432
2 Pm 0.177 0.750 0.163
3 Pm 0.255 0.250 0.006
4 Pm 0.345 0.250 0.326
5 Pm 0.352 0.750 0.800
6 Pm 0.428 0.250 0.637
7 Pm 0.572 0.750 0.363
8 Pm 0.648 0.250 0.200
9 Pm 0.655 0.750 0.674
10 Pm 0.745 0.750 0.994
11 Pm 0.823 0.250 0.837
12 Pm 0.960 0.750 0.568
13 Er 0.031 0.750 0.864
14 Er 0.105 0.250 0.721
15 Er 0.271 0.750 0.472
16 Er 0.729 0.250 0.528
17 Er 0.895 0.750 0.279
18 Er 0.969 0.250 0.136
19 Cd 0.463 0.750 0.083
20 Cd 0.537 0.250 0.917

Energy of formation from the pure elements = -31 meV/atom
Space group = P2_1/m, No. 11

---

Crystalline Pm12Er5Cd2 at its relaxed geometry. Source: Alexandria via LeMat-Bulk, functional PBE-GGA.

Cell: 9.059 9.059 8.520 Å, 92.22 92.22 61.29°
Atoms (fractional coordinates):
1 Pm 0.058 0.058 0.329
2 Pm 0.069 0.680 0.330
3 Pm 0.166 0.536 0.765
4 Pm 0.320 0.931 0.670
5 Pm 0.418 0.418 0.117
6 Pm 0.464 0.834 0.235
7 Pm 0.536 0.166 0.765
8 Pm 0.582 0.582 0.883
9 Pm 0.680 0.069 0.330
10 Pm 0.834 0.464 0.235
11 Pm 0.931 0.320 0.670
12 Pm 0.942 0.942 0.671
13 Er 0.196 0.196 0.017
14 Er 0.268 0.268 0.422
15 Er 0.500 0.500 0.500
16 Er 0.732 0.732 0.578
17 Er 0.804 0.804 0.983
18 Cd 0.170 0.830 0.000
19 Cd 0.830 0.170 0.000

Energy of formation from the pure elements = 44 meV/atom
Space group = C2/m, No. 12

---

Crystalline Pm6ErCd2 at its relaxed geometry. Source: Alexandria via LeMat-Bulk, functional PBE-GGA.

Cell: 6.716 6.716 12.126 Å, 108.10 108.10 32.93°
Atoms (fractional coordinates):
1 Pm 0.020 0.020 0.336
2 Pm 0.311 0.311 0.412
3 Pm 0.315 0.315 0.123
4 Pm 0.685 0.685 0.877
5 Pm 0.689 0.689 0.588
6 Pm 0.980 0.980 0.664
7 Er 0.000 0.000 0.000
8 Cd 0.358 0.358 0.802
9 Cd 0.642 0.642 0.198

Energy of formation from the pure elements = -131 meV/atom
Energy above the lowest structure with this stoichiometry = 0 meV per atom
Space group = C2/m, No. 12

---

Crystalline Pm7ErCd4 at its relaxed geometry. Source: Alexandria via LeMat-Bulk, functional PBE-GGA.

Cell: 8.041 8.041 9.934 Å, 119.64 119.64 42.45°
Atoms (fractional coordinates):
1 Pm 0.000 0.000 0.000
2 Pm 0.238 0.238 0.695
3 Pm 0.295 0.295 0.117
4 Pm 0.430 0.430 0.591
5 Pm 0.570 0.570 0.409
6 Pm 0.705 0.705 0.883
7 Pm 0.762 0.762 0.305
8 Er 0.500 0.500 0.000
9 Cd 0.041 0.041 0.713
10 Cd 0.181 0.181 0.343
11 Cd 0.819 0.819 0.657
12 Cd 0.959 0.959 0.287

Energy of formation from the pure elements = -20 meV/atom
Space group = C2/m, No. 12

---

Crystalline Pm2ErCd at its relaxed geometry. Source: Alexandria via LeMat-Bulk, functional PBE-GGA.

Cell: 7.806 7.806 7.806 Å, 90.00 90.00 90.00°
Atoms (fractional coordinates):
1 Pm 0.250 0.250 0.250
2 Pm 0.250 0.250 0.750
3 Pm 0.250 0.750 0.250
4 Pm 0.250 0.750 0.750
5 Pm 0.750 0.250 0.250
6 Pm 0.750 0.250 0.750
7 Pm 0.750 0.750 0.250
8 Pm 0.750 0.750 0.750
9 Er 0.000 0.000 0.000
10 Er 0.000 0.500 0.500
11 Er 0.500 0.000 0.500
12 Er 0.500 0.500 0.000
13 Cd 0.000 0.000 0.500
14 Cd 0.000 0.500 0.000
15 Cd 0.500 0.000 0.000
16 Cd 0.500 0.500 0.500

Energy of formation from the pure elements = -48 meV/atom
Energy above the lowest structure with this stoichiometry = 101 meV per atom
Space group = Fm-3m, No. 225

---

Crystalline Pm6ErCd2 at its relaxed geometry. Source: Alexandria via LeMat-Bulk, functional PBE-GGA.

Cell: 9.724 9.724 6.217 Å, 94.36 94.36 73.44°
Atoms (fractional coordinates):
1 Pm 0.073 0.815 0.992
2 Pm 0.149 0.405 0.163
3 Pm 0.185 0.927 0.508
4 Pm 0.232 0.533 0.686
5 Pm 0.405 0.149 0.663
6 Pm 0.467 0.768 0.814
7 Pm 0.533 0.232 0.186
8 Pm 0.595 0.851 0.337
9 Pm 0.768 0.467 0.314
10 Pm 0.815 0.073 0.492
11 Pm 0.851 0.595 0.837
12 Pm 0.927 0.185 0.008
13 Er 0.399 0.601 0.250
14 Er 0.601 0.399 0.750
15 Cd 0.043 0.286 0.591
16 Cd 0.286 0.043 0.091
17 Cd 0.714 0.957 0.909
18 Cd 0.957 0.714 0.409

Energy of formation from the pure elements = -65 meV/atom
Energy above the lowest structure with this stoichiometry = 65 meV per atom
Space group = C2/c, No. 15

---

Crystalline PmEr3Cd2 at its relaxed geometry. Source: Alexandria via LeMat-Bulk, functional PBE-GGA.

Cell: 3.654 3.654 12.589 Å, 90.00 90.00 90.00°
Atoms (fractional coordinates):
1 Pm 0.000 0.000 0.000
2 Er 0.500 0.500 0.197
3 Er 0.500 0.500 0.500
4 Er 0.500 0.500 0.803
5 Cd 0.000 0.000 0.349
6 Cd 0.000 0.000 0.651

Energy of formation from the pure elements = -200 meV/atom
Space group = P4/mmm, No. 123

---

Crystalline Pm3Er2Cd2 at its relaxed geometry. Source: Alexandria via LeMat-Bulk, functional PBE-GGA.

Cell: 8.623 8.623 8.623 Å, 36.80 36.80 36.80°
Atoms (fractional coordinates):
1 Pm 0.000 0.000 0.000
2 Pm 0.158 0.158 0.158
3 Pm 0.842 0.842 0.842
4 Er 0.427 0.427 0.427
5 Er 0.573 0.573 0.573
6 Cd 0.290 0.290 0.290
7 Cd 0.710 0.710 0.710

Energy of formation from the pure elements = -150 meV/atom
Energy above the lowest structure with this stoichiometry = 0 meV per atom
Space group = R-3m, No. 166

---

Crystalline PmErCd17 at its relaxed geometry. Source: Alexandria via LeMat-Bulk, functional PBE-GGA.

Cell: 7.664 7.664 7.664 Å, 81.97 81.97 81.97°
Atoms (fractional coordinates):
1 Pm 0.000 0.000 0.000
2 Er 0.345 0.345 0.345
3 Cd 0.049 0.049 0.455
4 Cd 0.049 0.455 0.049
5 Cd 0.142 0.693 0.693
6 Cd 0.324 0.324 0.791
7 Cd 0.324 0.791 0.324
8 Cd 0.367 0.666 0.974
9 Cd 0.367 0.974 0.666
10 Cd 0.455 0.049 0.049
11 Cd 0.565 0.565 0.565
12 Cd 0.666 0.367 0.974
13 Cd 0.666 0.974 0.367
14 Cd 0.693 0.142 0.693
15 Cd 0.693 0.693 0.142
16 Cd 0.760 0.760 0.760
17 Cd 0.791 0.324 0.324
18 Cd 0.974 0.367 0.666
19 Cd 0.974 0.666 0.367

Energy of formation from the pure elements = -116 meV/atom
Space group = R3m, No. 160

---

Crystalline Pm12Er6Cd at its relaxed geometry. Source: Alexandria via LeMat-Bulk, functional PBE-GGA.

Cell: 8.677 8.677 8.677 Å, 97.52 97.52 97.52°
Atoms (fractional coordinates):
1 Pm 0.000 0.259 0.741
2 Pm 0.000 0.741 0.259
3 Pm 0.170 0.580 0.580
4 Pm 0.259 0.000 0.741
5 Pm 0.259 0.741 0.000
6 Pm 0.420 0.420 0.830
7 Pm 0.420 0.830 0.420
8 Pm 0.580 0.170 0.580
9 Pm 0.580 0.580 0.170
10 Pm 0.741 0.000 0.259
11 Pm 0.741 0.259 0.000
12 Pm 0.830 0.420 0.420
13 Er 0.137 0.137 0.406
14 Er 0.137 0.406 0.137
15 Er 0.406 0.137 0.137
16 Er 0.594 0.863 0.863
17 Er 0.863 0.594 0.863
18 Er 0.863 0.863 0.594
19 Cd 0.000 0.000 0.000

Energy of formation from the pure elements = 115 meV/atom
Space group = R-3m, No. 166

---

Crystalline Pm8ErCd6 at its relaxed geometry. Source: Alexandria via LeMat-Bulk, functional PBE-GGA.

Cell: 8.377 8.377 8.377 Å, 65.97 65.97 65.97°
Atoms (fractional coordinates):
1 Pm 0.046 0.718 0.385
2 Pm 0.165 0.165 0.165
3 Pm 0.282 0.615 0.954
4 Pm 0.385 0.046 0.718
5 Pm 0.615 0.954 0.282
6 Pm 0.718 0.385 0.046
7 Pm 0.835 0.835 0.835
8 Pm 0.954 0.282 0.615
9 Er 0.500 0.500 0.500
10 Cd 0.123 0.451 0.777
11 Cd 0.223 0.877 0.549
12 Cd 0.451 0.777 0.123
13 Cd 0.549 0.223 0.877
14 Cd 0.777 0.123 0.451
15 Cd 0.877 0.549 0.223

Energy of formation from the pure elements = -88 meV/atom
Space group = R-3, No. 148

---

Crystalline Pm2ErCd at its relaxed geometry. Source: Alexandria via LeMat-Bulk, functional PBE-GGA.

Cell: 3.453 3.453 36.533 Å, 90.00 90.00 120.00°
Atoms (fractional coordinates):
1 Pm 0.000 0.000 0.094
2 Pm 0.000 0.000 0.906
3 Pm 0.333 0.667 0.573
4 Pm 0.333 0.667 0.761
5 Pm 0.667 0.333 0.239
6 Pm 0.667 0.333 0.427
7 Er 0.000 0.000 0.000
8 Er 0.333 0.667 0.667
9 Er 0.667 0.333 0.333
10 Cd 0.000 0.000 0.500
11 Cd 0.333 0.667 0.167
12 Cd 0.667 0.333 0.833

Energy of formation from the pure elements = 156 meV/atom
Energy above the lowest structure with this stoichiometry = 305 meV per atom
Space group = R-3m, No. 166

---

Crystalline Pm2Er3Cd4 at its relaxed geometry. Source: Alexandria via LeMat-Bulk, functional PBE-GGA.

Cell: 9.818 9.818 8.175 Å, 90.00 90.00 139.54°
Atoms (fractional coordinates):
1 Pm 0.093 0.907 0.899
2 Pm 0.407 0.593 0.399
3 Pm 0.593 0.407 0.601
4 Pm 0.907 0.093 0.101
5 Er 0.000 0.000 0.500
6 Er 0.004 0.496 0.750
7 Er 0.496 0.004 0.250
8 Er 0.500 0.500 0.000
9 Er 0.504 0.996 0.750
10 Er 0.996 0.504 0.250
11 Cd 0.163 0.837 0.515
12 Cd 0.175 0.325 0.750
13 Cd 0.325 0.175 0.250
14 Cd 0.337 0.663 0.015
15 Cd 0.663 0.337 0.985
16 Cd 0.675 0.825 0.750
17 Cd 0.825 0.675 0.250
18 Cd 0.837 0.163 0.485

Energy of formation from the pure elements = -166 meV/atom
Space group = Cmce, No. 64

---

Crystalline Pm2ErCd8 at its relaxed geometry. Source: Alexandria via LeMat-Bulk, functional PBE-GGA.

Cell: 8.367 8.367 7.065 Å, 106.25 106.25 34.83°
Atoms (fractional coordinates):
1 Pm 0.216 0.216 0.151
2 Pm 0.784 0.784 0.849
3 Er 0.500 0.500 0.500
4 Cd 0.015 0.015 0.217
5 Cd 0.144 0.144 0.631
6 Cd 0.329 0.329 0.609
7 Cd 0.411 0.411 0.042
8 Cd 0.589 0.589 0.958
9 Cd 0.671 0.671 0.391
10 Cd 0.856 0.856 0.369
11 Cd 0.985 0.985 0.783

Energy of formation from the pure elements = -245 meV/atom
Space group = C2/m, No. 12